<w>
Material: TcSb2W
Method: DFT, PBE
State: relaxed Values from VASP.

The structure in Quantum ESPRESSO input format:
```
&SYSTEM
  ibrav = 0, nat = 4, ntyp = 3
/
ATOMIC_SPECIES
Tc 98.00 Tc.upf
Sb 121.76 Sb.upf
W 183.84 W.upf
ATOMIC_POSITIONS crystal
Tc 0.0000 0.0000 0.0000
Sb 0.0000 0.0000 0.4153
Sb 0.5000 0.5000 0.7865
W 0.5000 0.5000 0.1814
CELL_PARAMETERS angstrom
3.1168 0.0000 0.0000
0.0000 3.1168 0.0000
0.0000 0.0000 8.5078
```

## Properties
calculated volume: 82.6 Å³/cell
crystal system: tetragonal
magnetization: 0.00 μB per cell
space-group type: P4mm, No. 99

<x>
Material: TcSb2W
Method: DFT, PBE
State: relaxed Values from VASP.

The structure in Quantum ESPRESSO input format:
```
&SYSTEM
  ibrav = 0, nat = 8, ntyp = 3
/
ATOMIC_SPECIES
Tc 98.00 Tc.upf
Sb 121.76 Sb.upf
W 183.84 W.upf
ATOMIC_POSITIONS crystal
Tc 0.0000 0.0000 0.0000
Tc 0.5000 0.5000 0.0000
Sb 0.0000 0.5000 0.2443
Sb 0.0000 0.5000 0.7557
Sb 0.5000 0.0000 0.2443
Sb 0.5000 0.0000 0.7557
W 0.0000 0.0000 0.5000
W 0.5000 0.5000 0.5000
CELL_PARAMETERS angstrom
3.3782 0.0000 0.0000
0.0000 5.2967 0.0000
0.0000 0.0000 8.5523
```

## Properties
calculated volume: 153.0 Å³/cell
crystal system: orthorhombic
magnetization: 0.00 μB per cell
space-group type: Cmmm, No. 65

<y>
Material: TcSb2W
Method: DFT, PBE
State: relaxed Values from VASP.

The structure in Quantum ESPRESSO input format:
```
&SYSTEM
  ibrav = 0, nat = 16, ntyp = 3
/
ATOMIC_SPECIES
Tc 98.00 Tc.upf
Sb 121.76 Sb.upf
W 183.84 W.upf
ATOMIC_POSITIONS crystal
Tc 0.0000 0.0000 0.0000
Tc 0.0000 0.5000 0.5000
Tc 0.5000 0.0000 0.5000
Tc 0.5000 0.5000 0.0000
Sb 0.0000 0.0000 0.5000
Sb 0.0000 0.5000 0.0000
Sb 0.2500 0.2500 0.2500
Sb 0.2500 0.7500 0.7500
Sb 0.5000 0.0000 0.0000
Sb 0.5000 0.5000 0.5000
Sb 0.7500 0.2500 0.7500
Sb 0.7500 0.7500 0.2500
W 0.2500 0.2500 0.7500
W 0.2500 0.7500 0.2500
W 0.7500 0.2500 0.2500
W 0.7500 0.7500 0.7500
CELL_PARAMETERS angstrom
6.7309 0.0000 0.0000
0.0000 6.7309 0.0000
0.0000 0.0000 6.7309
```

## Properties
calculated volume: 304.9 Å³/cell
crystal system: cubic
magnetization: 0.02 μB per cell
space-group type: F-43m, No. 216

Most stable of them? <w>.

<w>
Material: TcSb2W
Method: DFT, PBE
State: relaxed Values from VASP.

The structure in Quantum ESPRESSO input format:
```
&SYSTEM
  ibrav = 0, nat = 12, ntyp = 3
/
ATOMIC_SPECIES
Tc 98.00 Tc.upf
Sb 121.76 Sb.upf
W 183.84 W.upf
ATOMIC_POSITIONS crystal
Tc 0.0000 0.0000 0.0000
Tc 0.3333 0.6667 0.6667
Tc 0.6667 0.3333 0.3333
Sb 0.0000 0.0000 0.2525
Sb 0.0000 0.0000 0.7475
Sb 0.3333 0.6667 0.4142
Sb 0.3333 0.6667 0.9191
Sb 0.6667 0.3333 0.0809
Sb 0.6667 0.3333 0.5858
W 0.0000 0.0000 0.5000
W 0.3333 0.6667 0.1667
W 0.6667 0.3333 0.8333
CELL_PARAMETERS angstrom
3.1798 0.0000 0.0000
-1.5899 2.7538 0.0000
0.0000 0.0000 25.4382
```

## Properties
calculated volume: 222.8 Å³/cell
crystal system: trigonal
magnetization: 0.00 μB per cell
space-group type: R-3m, No. 166

<x>
Material: TcSb2W
Method: DFT, PBE
State: relaxed Values from VASP.

The structure in Quantum ESPRESSO input format:
```
&SYSTEM
  ibrav = 0, nat = 8, ntyp = 3
/
ATOMIC_SPECIES
Tc 98.00 Tc.upf
Sb 121.76 Sb.upf
W 183.84 W.upf
ATOMIC_POSITIONS crystal
Tc 0.0000 0.0000 0.0000
Tc 0.5000 0.5000 0.5000
Sb 0.0000 0.0000 0.5000
Sb 0.0000 0.5000 0.2500
Sb 0.5000 0.0000 0.7500
Sb 0.5000 0.5000 0.0000
W 0.0000 0.5000 0.7500
W 0.5000 0.0000 0.2500
CELL_PARAMETERS angstrom
4.3075 0.0000 0.0000
0.0000 4.3075 0.0000
0.0000 0.0000 8.1155
```

## Properties
calculated volume: 150.6 Å³/cell
crystal system: tetragonal
magnetization: 0.00 μB per cell
space-group type: I-4m2, No. 119

<y>
Material: TcSb2W
Method: DFT, PBE
State: relaxed Values from VASP.

The structure in Quantum ESPRESSO input format:
```
&SYSTEM
  ibrav = 0, nat = 12, ntyp = 3
/
ATOMIC_SPECIES
Tc 98.00 Tc.upf
Sb 121.76 Sb.upf
W 183.84 W.upf
ATOMIC_POSITIONS crystal
Tc 0.0000 0.0000 0.0000
Tc 0.3333 0.6667 0.6667
Tc 0.6667 0.3333 0.3333
Sb 0.0000 0.0000 0.2657
Sb 0.0000 0.0000 0.4647
Sb 0.3333 0.6667 0.1313
Sb 0.3333 0.6667 0.9324
Sb 0.6667 0.3333 0.5990
Sb 0.6667 0.3333 0.7980
W 0.0000 0.0000 0.7266
W 0.3333 0.6667 0.3933
W 0.6667 0.3333 0.0600
CELL_PARAMETERS angstrom
3.1193 0.0000 0.0000
-1.5596 2.7014 0.0000
0.0000 0.0000 32.0719
```

## Properties
calculated volume: 270.2 Å³/cell
crystal system: trigonal
magnetization: 0.00 μB per cell
space-group type: R3m, No. 160

<z>
Material: TcSb2W
Method: DFT, PBE
State: relaxed Values from VASP.

The structure in Quantum ESPRESSO input format:
```
&SYSTEM
  ibrav = 0, nat = 16, ntyp = 3
/
ATOMIC_SPECIES
Tc 98.00 Tc.upf
Sb 121.76 Sb.upf
W 183.84 W.upf
ATOMIC_POSITIONS crystal
Tc 0.0000 0.0000 0.0000
Tc 0.0000 0.5000 0.2500
Tc 0.5000 0.0000 0.7500
Tc 0.5000 0.5000 0.5000
Sb 0.2437 0.2500 0.1250
Sb 0.2500 0.7437 0.3750
Sb 0.2500 0.7563 0.8750
Sb 0.2563 0.2500 0.6250
Sb 0.7437 0.7500 0.6250
Sb 0.7500 0.2437 0.8750
Sb 0.7500 0.2563 0.3750
Sb 0.7563 0.7500 0.1250
W 0.0000 0.0000 0.5000
W 0.0000 0.5000 0.7500
W 0.5000 0.0000 0.2500
W 0.5000 0.5000 0.0000
CELL_PARAMETERS angstrom
4.2388 0.0000 0.0000
0.0000 4.2388 0.0000
0.0000 0.0000 18.3697
```

## Properties
calculated volume: 330.1 Å³/cell
crystal system: tetragonal
magnetization: 0.00 μB per cell
space-group type: I-42d, No. 122

Most stable of them? <y>.

<w>
Material: TcSb2W
Method: DFT, PBE
State: relaxed Values from VASP.

The structure in Quantum ESPRESSO input format:
```
&SYSTEM
  ibrav = 0, nat = 4, ntyp = 3
/
ATOMIC_SPECIES
Tc 98.00 Tc.upf
Sb 121.76 Sb.upf
W 183.84 W.upf
ATOMIC_POSITIONS crystal
Tc 0.0000 0.0000 0.0000
Sb 0.0000 0.5000 0.5000
Sb 0.5000 0.0000 0.5000
W 0.5000 0.5000 0.0000
CELL_PARAMETERS angstrom
4.6674 0.0000 0.0000
0.0000 4.6674 0.0000
0.0000 0.0000 3.2923
```

## Properties
calculated volume: 71.7 Å³/cell
crystal system: tetragonal
magnetization: 0.00 μB per cell
space-group type: P4/mmm, No. 123

<x>
Material: TcSb2W
Method: DFT, PBE
State: relaxed Values from VASP.

The structure in Quantum ESPRESSO input format:
```
&SYSTEM
  ibrav = 0, nat = 4, ntyp = 3
/
ATOMIC_SPECIES
Tc 98.00 Tc.upf
Sb 121.76 Sb.upf
W 183.84 W.upf
ATOMIC_POSITIONS crystal
Tc 0.0000 0.0000 0.0000
Sb 0.0000 0.5000 0.5000
Sb 0.5000 0.5000 0.0000
W 0.5000 0.0000 0.5000
CELL_PARAMETERS angstrom
3.2897 0.0000 0.0000
0.0000 4.3368 0.0000
0.0000 0.0000 5.3807
```

## Properties
calculated volume: 76.8 Å³/cell
crystal system: orthorhombic
magnetization: 0.00 μB per cell
space-group type: Pmmm, No. 47

<y>
Material: TcSb2W
Method: DFT, PBE
State: relaxed Values from VASP.

The structure in Quantum ESPRESSO input format:
```
&SYSTEM
  ibrav = 0, nat = 8, ntyp = 3
/
ATOMIC_SPECIES
Tc 98.00 Tc.upf
Sb 121.76 Sb.upf
W 183.84 W.upf
ATOMIC_POSITIONS crystal
Tc 0.0000 0.0000 0.0000
Tc 0.5000 0.5000 0.0000
Sb 0.2473 0.5000 0.2460
Sb 0.2527 0.0000 0.7540
Sb 0.7473 0.0000 0.2460
Sb 0.7527 0.5000 0.7540
W 0.0000 0.5000 0.5000
W 0.5000 0.0000 0.5000
CELL_PARAMETERS angstrom
8.7017 0.0000 0.0000
0.0000 3.1422 0.0000
-1.1923 0.0000 5.4393
```

## Properties
calculated volume: 148.7 Å³/cell
crystal system: monoclinic
magnetization: 0.00 μB per cell
space-group type: C2/m, No. 12

Most stable of them? <w>.

<w>
Material: Tc2Sb2W
Method: DFT, PBE
State: relaxed Values from VASP.

The structure in Quantum ESPRESSO input format:
```
&SYSTEM
  ibrav = 0, nat = 10, ntyp = 3
/
ATOMIC_SPECIES
Tc 98.00 Tc.upf
Sb 121.76 Sb.upf
W 183.84 W.upf
ATOMIC_POSITIONS crystal
Tc 0.0000 0.0000 0.0978
Tc 0.0000 0.0000 0.9022
Tc 0.5000 0.5000 0.4022
Tc 0.5000 0.5000 0.5978
Sb 0.0000 0.5000 0.2500
Sb 0.0000 0.5000 0.7500
Sb 0.5000 0.0000 0.2500
Sb 0.5000 0.0000 0.7500
W 0.0000 0.0000 0.5000
W 0.5000 0.5000 0.0000
CELL_PARAMETERS angstrom
4.0035 0.0000 0.0000
0.0000 4.0035 0.0000
0.0000 0.0000 12.2990
```

## Properties
calculated volume: 197.1 Å³/cell
crystal system: tetragonal
magnetization: 2.53 μB per cell
space-group type: I4/mmm, No. 139

<x>
Material: Tc2Sb2W
Method: DFT, PBE
State: relaxed Values from VASP.

The structure in Quantum ESPRESSO input format:
```
&SYSTEM
  ibrav = 0, nat = 10, ntyp = 3
/
ATOMIC_SPECIES
Tc 98.00 Tc.upf
Sb 121.76 Sb.upf
W 183.84 W.upf
ATOMIC_POSITIONS crystal
Tc 0.1355 0.3645 0.0000
Tc 0.3645 0.8645 0.0000
Tc 0.6355 0.1355 0.0000
Tc 0.8645 0.6355 0.0000
Sb 0.1651 0.6651 0.5000
Sb 0.3349 0.1651 0.5000
Sb 0.6651 0.8349 0.5000
Sb 0.8349 0.3349 0.5000
W 0.0000 0.0000 0.0000
W 0.5000 0.5000 0.0000
CELL_PARAMETERS angstrom
7.3918 0.0000 0.0000
0.0000 7.3918 0.0000
0.0000 0.0000 3.2865
```

## Properties
calculated volume: 179.6 Å³/cell
crystal system: tetragonal
magnetization: 0.00 μB per cell
space-group type: P4/mbm, No. 127

<y>
Material: Tc2Sb2W
Method: DFT, PBE
State: relaxed Values from VASP.

The structure in Quantum ESPRESSO input format:
```
&SYSTEM
  ibrav = 0, nat = 10, ntyp = 3
/
ATOMIC_SPECIES
Tc 98.00 Tc.upf
Sb 121.76 Sb.upf
W 183.84 W.upf
ATOMIC_POSITIONS crystal
Tc 0.0000 0.0000 0.1448
Tc 0.0000 0.0000 0.8552
Tc 0.5000 0.5000 0.3552
Tc 0.5000 0.5000 0.6448
Sb 0.0000 0.5000 0.2500
Sb 0.0000 0.5000 0.7500
Sb 0.5000 0.0000 0.2500
Sb 0.5000 0.0000 0.7500
W 0.0000 0.0000 0.5000
W 0.5000 0.5000 0.0000
CELL_PARAMETERS angstrom
5.0272 0.0000 0.0000
0.0000 5.0272 0.0000
0.0000 0.0000 7.8633
```

## Properties
calculated volume: 198.7 Å³/cell
crystal system: tetragonal
magnetization: 0.00 μB per cell
space-group type: I4/mmm, No. 139

Most stable of them? <x>.

<w>
Material: TcSbW3
Method: DFT, PBE
State: relaxed Values from VASP.

The structure in Quantum ESPRESSO input format:
```
&SYSTEM
  ibrav = 0, nat = 5, ntyp = 3
/
ATOMIC_SPECIES
Tc 98.00 Tc.upf
Sb 121.76 Sb.upf
W 183.84 W.upf
ATOMIC_POSITIONS crystal
Tc 0.0000 0.0000 0.0000
Sb 0.5000 0.5000 0.5000
W 0.0000 0.5000 0.5000
W 0.5000 0.0000 0.5000
W 0.5000 0.5000 0.0000
CELL_PARAMETERS angstrom
4.7886 0.0000 0.0000
0.0000 4.7886 0.0000
0.0000 0.0000 4.7886
```

## Properties
calculated volume: 109.8 Å³/cell
crystal system: cubic
magnetization: 0.00 μB per cell
space-group type: Pm-3m, No. 221

<x>
Material: TcSbW3
Method: DFT, PBE
State: relaxed Values from VASP.

The structure in Quantum ESPRESSO input format:
```
&SYSTEM
  ibrav = 0, nat = 5, ntyp = 3
/
ATOMIC_SPECIES
Tc 98.00 Tc.upf
Sb 121.76 Sb.upf
W 183.84 W.upf
ATOMIC_POSITIONS crystal
Tc 0.0000 0.0000 0.0000
Sb 0.5000 0.5000 0.5000
W 0.0000 0.0000 0.5000
W 0.0000 0.5000 0.0000
W 0.5000 0.0000 0.0000
CELL_PARAMETERS angstrom
4.7553 0.0000 0.0000
0.0000 4.7553 0.0000
0.0000 0.0000 4.7553
```

## Properties
calculated volume: 107.5 Å³/cell
crystal system: cubic
magnetization: 0.00 μB per cell
space-group type: Pm-3m, No. 221

Most stable of them? <x>.

<w>
Material: Tc2SbW2
Method: DFT, PBE
State: relaxed Values from VASP.

The structure in Quantum ESPRESSO input format:
```
&SYSTEM
  ibrav = 0, nat = 10, ntyp = 3
/
ATOMIC_SPECIES
Tc 98.00 Tc.upf
Sb 121.76 Sb.upf
W 183.84 W.upf
ATOMIC_POSITIONS crystal
Tc 0.0000 0.0000 0.1178
Tc 0.0000 0.0000 0.8822
Tc 0.5000 0.5000 0.3822
Tc 0.5000 0.5000 0.6178
Sb 0.0000 0.0000 0.5000
Sb 0.5000 0.5000 0.0000
W 0.0000 0.5000 0.2500
W 0.0000 0.5000 0.7500
W 0.5000 0.0000 0.2500
W 0.5000 0.0000 0.7500
CELL_PARAMETERS angstrom
4.1047 0.0000 0.0000
0.0000 4.1047 0.0000
0.0000 0.0000 11.4135
```

## Properties
calculated volume: 192.3 Å³/cell
crystal system: tetragonal
magnetization: 0.00 μB per cell
space-group type: I4/mmm, No. 139

<x>
Material: Tc2SbW2
Method: DFT, PBE
State: relaxed Values from VASP.

The structure in Quantum ESPRESSO input format:
```
&SYSTEM
  ibrav = 0, nat = 10, ntyp = 3
/
ATOMIC_SPECIES
Tc 98.00 Tc.upf
Sb 121.76 Sb.upf
W 183.84 W.upf
ATOMIC_POSITIONS crystal
Tc 0.1385 0.3615 0.0000
Tc 0.3615 0.8615 0.0000
Tc 0.6385 0.1385 0.0000
Tc 0.8615 0.6385 0.0000
Sb 0.0000 0.0000 0.0000
Sb 0.5000 0.5000 0.0000
W 0.1485 0.6485 0.5000
W 0.3515 0.1485 0.5000
W 0.6485 0.8515 0.5000
W 0.8515 0.3515 0.5000
CELL_PARAMETERS angstrom
7.6478 0.0000 0.0000
0.0000 7.6478 0.0000
0.0000 0.0000 2.9696
```

## Properties
calculated volume: 173.7 Å³/cell
crystal system: tetragonal
magnetization: 0.00 μB per cell
space-group type: P4/mbm, No. 127

Most stable of them? <x>.